No. 1
Below is crystalline BaPaTe at its relaxed geometry, with properties calculated at the PBE level.

For the distance to the lowest polymorph of the same formula, the calculation gives 0 meV/atom. Its space-group type is F-43m. The calculation puts the calculated density at 7.20 g cm⁻³. The uncorrected energy comes out at -14.10 eV for the cell shown.

abc: 5.448 5.448 5.448
angles: 60.00 60.00 60.00
Sites, in units of the cell vectors:
Ba: 0.250 0.250 0.250
Pa: 0.750 0.750 0.750
Te: 0.000 0.000 0.000

No. 2
Below is crystalline BaThPa at its relaxed geometry, with properties calculated at the PBE level.

For the distance to the lowest polymorph of the same formula, the calculation gives 0 meV/atom. Its space-group type is F-43m. The calculation puts the calculated density at 8.32 g cm⁻³. The uncorrected energy comes out at -14.66 eV for the cell shown.

abc: 5.535 5.535 5.535
angles: 60.00 60.00 60.00
Sites, in units of the cell vectors:
Ba: 0.750 0.750 0.750
Pa: 0.250 0.250 0.250
Th: 0.000 0.000 0.000

No. 3
Below is crystalline BaPaTl at its relaxed geometry, with properties calculated at the PBE level.

For the distance to the lowest polymorph of the same formula, the calculation gives 0 meV/atom. Its space-group type is F-43m. The calculation puts the calculated density at 8.06 g cm⁻³. The uncorrected energy comes out at -11.50 eV for the cell shown.

abc: 5.506 5.506 5.506
angles: 60.00 60.00 60.00
Sites, in units of the cell vectors:
Ba: 0.250 0.250 0.250
Pa: 0.750 0.750 0.750
Tl: 0.000 0.000 0.000